Density functional theory data (PBE) for crystalline Ca2YCdO at its relaxed geometry.

Properties
E_tot ... -4.54 eV per atom
D(E_F) ... 4.56 states/eV per cell
Symmetry ... No. 123
Theoretical density ... 4260 kg/m3

a b c (Å): 4.943 4.943 4.745
angles (deg): 90.00 90.00 90.00
Fractional positions:
Y 0.000 0.000 0.500
Ca 0.000 0.500 0.000
Ca 0.500 0.000 0.000
O 0.000 0.000 0.000
Cd 0.500 0.500 0.500